Below is YBeAl at its PBEsol-relaxed geometry, with properties calculated at the SCAN level.

Summary:
Offset from the most stable computed form, meV/atom: 0.0
Energy relative to the elements, eV/f.u.: -1.0
Space group: P-6m2 (187)
Electronic total energy, eV per atom: -13.64
Volume, A^3/atom: 18.53

Unit cell a=4.2440 b=4.2440 c=3.5634 alpha=90.00 beta=90.00 gamma=120.00
With the nearest neighbours (Å) after each atom.
Fractional coordinates of all 3 atoms:
Y (0.0000, 0.0000, 0.0000)  6 Be 3.03, 6 Al 3.03
Be (0.6667, 0.3333, 0.5000)  3 Al 2.45
Al (0.3333, 0.6667, 0.5000)  3 Be 2.45